## CaLa4Pm5 (GGA-PBE)

Data for a relaxed CaLa4Pm5 crystal.

DOS(E_F): 17.430 states/eV per cell
space group: P4/mmm, No. 123
E_form: 29 meV per atom

Structure (extended XYZ):
```
10
Lattice="-3.132 1.409 -1.481 0.875 -1.525 -3.301 -12.775 -21.507 6.547" Properties=species:S:1:pos:R:3 pbc="T T T"
Ca 0.000 0.000 0.000
La -2.574 -4.333 1.319
La -5.119 -8.618 2.624
La -7.656 -12.889 3.924
La -10.201 -17.175 5.228
Pm -2.488 -2.347 -1.694
Pm -4.991 -6.561 -0.412
Pm -7.516 -10.812 0.882
Pm -10.041 -15.062 2.177
Pm -12.544 -19.276 3.459
```